# 1
DFT (PBE) results for SrMnNi2 after structural relaxation.

Summary:
Formation energy = 0.37 eV/atom
D(E_F) = 1.317 states/eV/atom

abc: 3.163 3.272 6.888
angles: 90.00 90.00 90.00
Space group Pmm2 (No. 25)
Symmetry-distinct sites (fractional):
Sr: 0.000 0.000 0.000
Mn: 0.500 0.500 0.367
Ni: 0.000 0.000 0.522
Ni: 0.500 0.500 0.703

# 2
DFT (PBE) results for MgCd3Ag after structural relaxation.

Summary:
Distance to the lowest polymorph of the same formula = 0.008 eV/atom
Formation energy = -0.06 eV/atom
D(E_F) = 0.164 states/eV/atom

abc: 10.246 4.820 8.684
angles: 90.00 90.00 90.00
Space group Pnma (No. 62)
Symmetry-distinct sites (fractional):
Mg: 0.244 0.250 0.008
Cd: 0.034 0.250 0.384
Cd: 0.039 0.750 0.143
Cd: 0.174 0.750 0.844
Ag: 0.183 0.250 0.661

# 3
DFT (PBE) results for Si2TcSb after structural relaxation.

Summary:
VASP energy = -5.7597 eV per atom
D(E_F) = 0.834 states/eV/atom

abc: 3.252 4.293 4.889
angles: 90.00 90.00 90.00
Space group Pmmm (No. 47)
Symmetry-distinct sites (fractional):
Si: 0.000 0.000 0.000
Si: 0.500 0.500 0.000
Tc: 0.000 0.500 0.500
Sb: 0.500 0.000 0.500

# 4
DFT (PBE) results for BaPmEu after structural relaxation.

Summary:
Distance to the lowest polymorph of the same formula = 0.000 eV/atom
Formation energy = 0.13 eV/atom
D(E_F) = 2.259 states/eV/atom

abc: 3.936 3.936 17.125
angles: 90.00 90.00 90.00
Space group I4mm (No. 107)
Symmetry-distinct sites (fractional):
Ba: 0.000 0.000 0.000
Pm: 0.000 0.000 0.331
Eu: 0.000 0.000 0.686

# 5
DFT (PBE) results for Cs5GeAs3 after structural relaxation.

Summary:
Formation energy = -0.41 eV/atom

abc: 15.008 6.079 16.540
angles: 90.00 90.00 90.00
Space group Pnma (No. 62)
Symmetry-distinct sites (fractional):
Cs: 0.043 0.250 0.144
Cs: 0.063 0.250 0.448
Cs: 0.114 0.250 0.685
Cs: 0.152 0.750 0.045
Cs: 0.230 0.750 0.788
Ge: 0.238 0.750 0.431
As: 0.103 0.250 0.908
As: 0.132 0.750 0.322
As: 0.191 0.750 0.570

# 6
DFT (PBE) results for Li2SbPbCl8 after structural relaxation.

Summary:
VASP energy = -3.3273 eV per atom
D(E_F) = 0.421 states/eV/atom

abc: 6.286 8.220 6.296
angles: 90.00 95.37 90.00
Space group P2/m (No. 10)
Symmetry-distinct sites (fractional):
Li: 0.000 0.249 0.000
Sb: 0.500 0.000 0.500
Pb: 0.500 0.500 0.500
Cl: 0.177 0.500 0.174
Cl: 0.193 0.000 0.190
Cl: 0.301 0.229 0.696

# 7
DFT (PBE) results for Rh2AuS after structural relaxation.

Summary:
VASP energy = -5.4569 eV per atom
D(E_F) = 0.465 states/eV/atom

abc: 6.820 6.820 5.555
angles: 90.00 90.00 90.00
Space group I-42d (No. 122)
Symmetry-distinct sites (fractional):
Rh: 0.180 0.750 0.125
Au: 0.000 0.000 0.500
S: 0.000 0.000 0.000

# 8
DFT (PBE) results for La4Ho8Tm after structural relaxation.

Summary:
Formation energy = 0.55 eV/atom
D(E_F) = 1.845 states/eV/atom

abc: 11.0389 11.0389 13.4528
angles: 90.00 90.00 120.00
Space group R-3m (No. 166, hexagonal axes)
Symmetry-distinct sites (fractional):
La: 0.0000 0.0000 0.0000
La: 0.0000 0.5000 0.0000
Ho: 0.0000 0.0000 0.2398
Ho: 0.0130 0.5065 0.7458
Tm: 0.0000 0.0000 0.5000

# 9
DFT (PBE) results for Na3Ge2Pt3 after structural relaxation.

Summary:
Distance to the lowest polymorph of the same formula = 0.117 eV/atom
Formation energy = -0.31 eV/atom
D(E_F) = 0.733 states/eV/atom

abc: 5.5228 5.5228 18.8959
angles: 90.00 90.00 120.00
Space group R-3m (No. 166, hexagonal axes)
Symmetry-distinct sites (fractional):
Na: 0.0000 0.0000 0.0000
Na: 0.0000 0.0000 0.4237
Ge: 0.0000 0.0000 0.2694
Pt: 0.0000 0.5000 0.5000

# 10
DFT (PBE) results for Tl2TcW after structural relaxation.

Summary:
Distance to the lowest polymorph of the same formula = 0.180 eV/atom
Formation energy = 0.63 eV/atom
D(E_F) = 0.901 states/eV/atom

abc: 3.305 5.041 10.374
angles: 90.00 90.00 90.00
Space group Cmm2 (No. 35)
Symmetry-distinct sites (fractional):
Tl: 0.000 0.000 0.000
Tl: 0.000 0.500 0.313
Tc: 0.000 0.500 0.749
W: 0.000 0.000 0.572

# 11
DFT (PBE) results for Ac3CoPt after structural relaxation.

Summary:
Formation energy = -0.46 eV/atom
D(E_F) = 0.617 states/eV/atom

abc: 15.073 4.410 11.982
angles: 90.00 125.87 90.00
Space group C2/m (No. 12)
Symmetry-distinct sites (fractional):
Ac: 0.033 0.000 0.204
Ac: 0.151 0.500 0.541
Ac: 0.225 0.500 0.120
Co: 0.189 0.500 0.325
Pt: 0.103 0.500 0.780